[1]
VASP calculation (GGA-PBE) on crystalline Pb2SI at its relaxed geometry.

Cell and atoms, written as CIF:
```
data_Pb2SI
_symmetry_space_group_name_H-M 'P 1'
_symmetry_Int_Tables_number 1
_cell_length_a 9.092
_cell_length_b 9.092
_cell_length_c 9.092
_cell_angle_alpha 25.88
_cell_angle_beta 25.88
_cell_angle_gamma 25.88
loop_
_symmetry_equiv_pos_as_xyz
'x,y,z'
loop_
_atom_site_label
_atom_site_type_symbol
_atom_site_fract_x
_atom_site_fract_y
_atom_site_fract_z
Pb1 Pb 0.237 0.237 0.237
Pb2 Pb 0.763 0.763 0.763
S1 S 0.500 0.500 0.500
I1 I 0.000 0.000 0.000
```

crystal system: trigonal
SG: R-3m, No. 166
raw total energy: -3.64 eV per atom



[2]
VASP calculation (GGA-PBE) on crystalline LaTb7Tm3 at its relaxed geometry.

Cell and atoms, written as CIF:
```
data_LaTb7Tm3
_symmetry_space_group_name_H-M 'P 1'
_symmetry_Int_Tables_number 1
_cell_length_a 6.953
_cell_length_b 5.567
_cell_length_c 9.845
_cell_angle_alpha 90.00
_cell_angle_beta 109.08
_cell_angle_gamma 90.00
loop_
_symmetry_equiv_pos_as_xyz
'x,y,z'
loop_
_atom_site_label
_atom_site_type_symbol
_atom_site_fract_x
_atom_site_fract_y
_atom_site_fract_z
La1 La 0.000 0.000 0.000
Tb1 Tb 0.000 0.000 0.500
Tb2 Tb 0.145 0.500 0.790
Tb3 Tb 0.331 0.500 0.143
Tb4 Tb 0.427 0.000 0.333
Tb5 Tb 0.573 0.000 0.667
Tb6 Tb 0.669 0.500 0.857
Tb7 Tb 0.855 0.500 0.210
Tm1 Tm 0.275 0.500 0.496
Tm2 Tm 0.500 0.000 0.000
Tm3 Tm 0.725 0.500 0.504
```

crystal system: monoclinic
SG: P2/m, No. 10
DFT formation energy: 136 meV per atom



[3]
VASP calculation (GGA-PBE) on crystalline KRbHgPb at its relaxed geometry.

Cell and atoms, written as CIF:
```
data_KRbHgPb
_symmetry_space_group_name_H-M 'P 1'
_symmetry_Int_Tables_number 1
_cell_length_a 5.833
_cell_length_b 5.833
_cell_length_c 5.833
_cell_angle_alpha 60.00
_cell_angle_beta 60.00
_cell_angle_gamma 60.00
loop_
_symmetry_equiv_pos_as_xyz
'x,y,z'
loop_
_atom_site_label
_atom_site_type_symbol
_atom_site_fract_x
_atom_site_fract_y
_atom_site_fract_z
K1 K 0.000 0.000 0.000
Rb1 Rb 0.750 0.750 0.750
Hg1 Hg 0.500 0.500 0.500
Pb1 Pb 0.250 0.250 0.250
```

crystal system: cubic
SG: F-43m, No. 216
DFT formation energy: -107 meV per atom